(1)
Density functional theory data (PBE-GGA) for crystalline ThTeHBr at its relaxed geometry.

The space group is Cm (No. 8) and the conventional cell measures 7.147, 4.126 and 7.992 Å, with angles of 90.00, 107.42 and 90.00 degrees. The inequivalent atoms are Th at (0.000, 0.000, 0.000), Te at (0.255, 0.500, 0.264), H at (0.330, 0.000, 0.990) and Br at (0.080, 0.500, 0.740).

Its crystal system is monoclinic. The value obtained for the uncorrected energy is -20.45 eV/f.u.



(2)
Density functional theory data (PBE-GGA) for crystalline AlCu2I at its relaxed geometry.

The space group is I-42d (No. 122) and the conventional cell measures 6.495, 6.495 and 8.814 Å, with angles of 90.00, 90.00 and 90.00 degrees. The inequivalent atoms are Al at (0.000, 0.000, 0.000), Cu at (0.224, 0.750, 0.125) and I at (0.000, 0.000, 0.500).

The distance to the lowest polymorph of the same formula is 0.000 eV/atom. For the uncorrected formation energy, the calculation gives 0.34 eV per atom. Its crystal system is tetragonal.